No. 1
CuPd2S4 | GGA-PBE | optimized geometry

```
14
Lattice="0.0000 5.0046 5.0046 5.0046 0.0000 5.0046 5.0046 5.0046 0.0000" Properties=species:S:1:pos:R:3 pbc="T T T"
Cu 5.0046 5.0046 5.0046
S 6.1800 6.1800 8.8339
Pd 1.2512 3.7535 3.7535
S 6.1800 8.8339 6.1800
Pd 1.2512 1.2512 1.2512
S 6.3316 6.3316 3.6777
S 3.6777 6.3316 6.3316
S 6.3316 3.6777 6.3316
Pd 3.7535 1.2512 3.7535
Pd 3.7535 3.7535 1.2512
Cu 7.5070 7.5070 7.5070
S 3.6777 3.6777 3.6777
S 8.8339 8.8339 8.8339
S 8.8339 6.1800 6.1800
```

Summary:
Total DFT energy (no corrections), eV per atom: -4.59

No. 2
CuSbPdS3 | GGA-PBE | optimized geometry

```
24
Lattice="-4.7894 -1.2779 -0.7627 1.6653 -7.2667 1.7180 -2.5643 2.3058 12.2389" Properties=species:S:1:pos:R:3 pbc="T T T"
S -4.7760 -3.4240 11.7223
Sb -1.0272 -4.4488 12.1203
Sb -2.8836 -0.5961 4.4002
S 0.1319 -6.3916 2.3646
S -2.6093 -1.2725 10.1905
S -0.7345 -2.7701 1.4976
Cu -0.0780 -5.1701 8.3814
S -3.9355 -1.3392 2.1409
Cu -2.6069 -4.1227 6.0175
Pd -4.1296 0.0966 9.0198
S -0.9133 -4.1215 4.4773
Sb -5.5142 -2.5100 7.6361
Pd -0.0724 -2.0833 3.6847
S -3.2822 -6.3217 5.9791
S -5.6446 0.2026 10.8602
S -4.1496 -2.6962 5.1111
S -2.5833 0.0343 7.1903
Cu -2.2513 -1.2969 0.5910
Pd -3.2231 -3.5149 9.8996
S -3.9188 -5.7443 9.5796
S -1.7156 -3.5883 8.0515
Pd -3.9517 -6.9759 3.7842
Cu -6.4407 -1.8877 11.3984
Sb -1.9519 -4.9225 2.2317
```

Summary:
Total DFT energy (no corrections), eV per atom: -4.56

No. 3
SrCuPdS3 | GGA-PBE | optimized geometry

```
12
Lattice="1.9517 -6.1138 0.0000 1.9517 6.1138 0.0000 0.0000 0.0000 9.6336" Properties=species:S:1:pos:R:3 pbc="T T T"
S 1.9516 5.3162 2.4084
S 1.9517 -1.5959 9.2296
Cu 1.9516 0.3971 2.4084
Sr 1.9517 -3.1010 2.4084
Pd 0.0000 0.0000 4.8168
S 1.9517 -1.5959 5.2208
S 1.9516 -5.3162 7.2252
S 1.9517 1.5959 4.4128
Pd 0.0000 0.0000 0.0000
S 1.9517 1.5959 0.4040
Sr 1.9517 3.1010 7.2252
Cu 1.9516 -0.3971 7.2252
```

Summary:
Total DFT energy (no corrections), eV per atom: -4.58

No. 4
TlCuPdS3 | GGA-PBE | optimized geometry

```
12
Lattice="1.8519 -6.6950 0.0000 1.8519 6.6950 0.0000 0.0000 0.0000 9.9165" Properties=species:S:1:pos:R:3 pbc="T T T"
S 1.8519 -5.1615 9.5395
Cu 1.8519 -6.0276 7.4374
Pd 1.8519 0.0000 0.0000
Pd 1.8519 0.0000 4.9582
S 1.8519 5.1615 4.5812
S 1.8519 -5.1615 5.3353
S 1.8519 0.6966 2.4791
S 1.8519 -0.6966 7.4374
Tl 1.8519 3.4300 7.4374
Cu 1.8519 6.0276 2.4791
Tl 1.8519 -3.4300 2.4791
S 1.8519 5.1615 0.3770
```

Summary:
Total DFT energy (no corrections), eV per atom: -4.12

Copy entry 3 word for word.
SrCuPdS3 | GGA-PBE | optimized geometry

```
12
Lattice="1.9517 -6.1138 0.0000 1.9517 6.1138 0.0000 0.0000 0.0000 9.6336" Properties=species:S:1:pos:R:3 pbc="T T T"
S 1.9516 5.3162 2.4084
S 1.9517 -1.5959 9.2296
Cu 1.9516 0.3971 2.4084
Sr 1.9517 -3.1010 2.4084
Pd 0.0000 0.0000 4.8168
S 1.9517 -1.5959 5.2208
S 1.9516 -5.3162 7.2252
S 1.9517 1.5959 4.4128
Pd 0.0000 0.0000 0.0000
S 1.9517 1.5959 0.4040
Sr 1.9517 3.1010 7.2252
Cu 1.9516 -0.3971 7.2252
```

Summary:
Total DFT energy (no corrections), eV per atom: -4.58

Please write out number 4 again, unchanged.
TlCuPdS3 | GGA-PBE | optimized geometry

```
12
Lattice="1.8519 -6.6950 0.0000 1.8519 6.6950 0.0000 0.0000 0.0000 9.9165" Properties=species:S:1:pos:R:3 pbc="T T T"
S 1.8519 -5.1615 9.5395
Cu 1.8519 -6.0276 7.4374
Pd 1.8519 0.0000 0.0000
Pd 1.8519 0.0000 4.9582
S 1.8519 5.1615 4.5812
S 1.8519 -5.1615 5.3353
S 1.8519 0.6966 2.4791
S 1.8519 -0.6966 7.4374
Tl 1.8519 3.4300 7.4374
Cu 1.8519 6.0276 2.4791
Tl 1.8519 -3.4300 2.4791
S 1.8519 5.1615 0.3770
```

Summary:
Total DFT energy (no corrections), eV per atom: -4.12

Question: Look up the total DFT energy (no corrections) of the second one.
Answer: -4.56 eV per atom

Question: Look up the total DFT energy (no corrections) of the second one.
Answer: -4.56 eV per atom